# 1
# Pr3LuF

Crystalline Pr3LuF at its relaxed geometry (PBE, Alexandria).

As for the formation energy without anion corrections: -4.89 eV per formula unit. The value obtained for the mass density is 7.305 Mg/m³. For the density of states at the Fermi level, the calculation gives 4.91 states/eV per cell. As for the electronic total energy: -5.124 eV per atom.

a = 5.1948 Å, b = 5.1948 Å, c = 5.1948 Å
α = 90.00°, β = 90.00°, γ = 90.00°
Positions (direct):
1 Pr 0.0000 0.0000 0.5000
2 Pr 0.0000 0.5000 0.0000
3 Pr 0.5000 0.0000 0.0000
4 Lu 0.5000 0.5000 0.5000
5 F 0.0000 0.0000 0.0000



# 2
# Rb2MnSnS4

Crystalline Rb2MnSnS4 at its relaxed geometry (PBE, Alexandria).

As for the formation energy without anion corrections: -5.15 eV per formula unit. The value obtained for the mass density is 3.929 Mg/m³. For the density of states at the Fermi level, the calculation gives 5.83 states/eV per cell. As for the electronic total energy: -4.596 eV per atom.

a = 8.2338 Å, b = 8.2338 Å, c = 8.2338 Å
α = 119.96°, β = 118.29°, γ = 91.53°
Positions (direct):
1 Rb 0.0000 0.0000 0.0000
2 Rb 0.5000 0.0000 0.0000
3 Rb 0.5000 0.0000 0.5000
4 Rb 0.5000 0.5000 0.5000
5 Mn 0.0000 0.5000 0.5000
6 Mn 0.5000 0.5000 0.0000
7 Sn 0.0000 0.0000 0.5000
8 Sn 0.0000 0.5000 0.0000
9 S 0.1890 0.7283 0.4607
10 S 0.2242 0.2622 0.5379
11 S 0.2242 0.6863 0.9621
12 S 0.2325 0.2717 0.9607
13 S 0.7675 0.7283 0.0393
14 S 0.7758 0.3137 0.0379
15 S 0.7758 0.7378 0.4621
16 S 0.8110 0.2717 0.5393



# 3
# AcTmS2

Crystalline AcTmS2 at its relaxed geometry (PBE, Alexandria).

As for the formation energy without anion corrections: -7.60 eV per formula unit. The value obtained for the mass density is 7.805 Mg/m³. For the density of states at the Fermi level, the calculation gives 4.18 states/eV per cell. The energy above the most stable polymorph in this dataset comes out at 64 meV per atom. As for the electronic total energy: -6.108 eV per atom.

a = 3.9595 Å, b = 3.9595 Å, c = 21.6268 Å
α = 90.00°, β = 90.00°, γ = 120.00°
Positions (direct):
1 Ac 0.0000 0.0000 0.0000
2 Ac 0.3333 0.6667 0.6667
3 Ac 0.6667 0.3333 0.3333
4 Tm 0.0000 0.0000 0.1761
5 Tm 0.3333 0.6667 0.8427
6 Tm 0.6667 0.3333 0.5094
7 S 0.0000 0.0000 0.5749
8 S 0.0000 0.0000 0.7675
9 S 0.3333 0.6667 0.2416
10 S 0.3333 0.6667 0.4341
11 S 0.6667 0.3333 0.1008
12 S 0.6667 0.3333 0.9082



# 4
# Pr4Sm3Ho2

Crystalline Pr4Sm3Ho2 at its relaxed geometry (PBE, Alexandria).

The value obtained for the mass density is 7.149 Mg/m³. As for the formation energy: 0.068 eV/atom. For the density of states at the Fermi level, the calculation gives 16.75 states/eV per cell. The energy above the most stable polymorph in this dataset comes out at 52 meV per atom. As for the electronic total energy: -4.647 eV per atom.

a = 3.6433 Å, b = 3.6433 Å, c = 27.1668 Å
α = 90.00°, β = 90.00°, γ = 120.00°
Positions (direct):
1 Pr 0.0000 0.0000 0.0000
2 Pr 0.0000 0.0000 0.2200
3 Pr 0.3333 0.6667 0.3338
4 Pr 0.3333 0.6667 0.5564
5 Sm 0.0000 0.0000 0.4443
6 Sm 0.3333 0.6667 0.1079
7 Sm 0.3333 0.6667 0.7702
8 Ho 0.0000 0.0000 0.6634
9 Ho 0.0000 0.0000 0.8732



# 5
# Ba8CuH2

Crystalline Ba8CuH2 at its relaxed geometry (PBE, Alexandria).

The value obtained for the mass density is 3.615 Mg/m³. For the density of states at the Fermi level, the calculation gives 10.06 states/eV per cell. As for the electronic total energy: -2.497 eV per atom.

a = 9.0040 Å, b = 9.0040 Å, c = 7.4823 Å
α = 92.22°, β = 92.22°, γ = 61.95°
Positions (direct):
1 Ba 0.1380 0.6708 0.7407
2 Ba 0.1623 0.1623 0.7916
3 Ba 0.3292 0.8620 0.2593
4 Ba 0.3392 0.3392 0.2409
5 Ba 0.6608 0.6608 0.7591
6 Ba 0.6708 0.1380 0.7407
7 Ba 0.8377 0.8377 0.2084
8 Ba 0.8620 0.3292 0.2593
9 Cu 0.0000 0.0000 0.5000
10 H 0.1750 0.1750 0.1473
11 H 0.8250 0.8250 0.8527



# 6
# MnInCo2

Crystalline MnInCo2 at its relaxed geometry (PBE, Alexandria).

The value obtained for the mass density is 8.945 Mg/m³. As for the formation energy: 0.074 eV/atom. For the density of states at the Fermi level, the calculation gives 2.52 states/eV per cell. As for the electronic total energy: -6.456 eV per atom.

a = 2.9711 Å, b = 2.9711 Å, c = 6.0486 Å
α = 90.00°, β = 90.00°, γ = 90.00°
Positions (direct):
1 Mn 0.0000 0.0000 0.0000
2 In 0.0000 0.0000 0.5000
3 Co 0.5000 0.5000 0.2165
4 Co 0.5000 0.5000 0.7835



# 7
# EuGe3

Crystalline EuGe3 at its relaxed geometry (PBE, Alexandria).

The value obtained for the mass density is 6.922 Mg/m³. As for the formation energy: -0.367 eV/atom. For the density of states at the Fermi level, the calculation gives 4.25 states/eV per cell. As for the electronic total energy: -6.399 eV per atom.

a = 6.2800 Å, b = 6.2800 Å, c = 5.1960 Å
α = 90.00°, β = 90.00°, γ = 120.00°
Positions (direct):
1 Eu 0.3333 0.6667 0.2486
2 Eu 0.6667 0.3333 0.7514
3 Ge 0.1402 0.2805 0.7492
4 Ge 0.1402 0.8598 0.7492
5 Ge 0.2805 0.1402 0.2508
6 Ge 0.7195 0.8598 0.7492
7 Ge 0.8598 0.1402 0.2508
8 Ge 0.8598 0.7195 0.2508